{
  "formula": "Sc2BiMoO8",
  "functional": "PBE with a Hubbard U",
  "state": "optimized geometry",
  "cell": [[3.3918, -3.4818, 0.0000], [3.3918, 3.4818, 0.0000], [0.0000, 0.0000, 6.5744]],
  "species": ["Sc", "Sc", "Bi", "Mo", "O", "O", "O", "O", "O", "O", "O", "O"],
  "fractional_positions": [[0.0000, 0.0000, 0.2423], [0.0000, 0.0000, 0.7577], [0.5000, 0.5000, 0.5000], [0.5000, 0.5000, 0.0000], [0.1803, 0.1803, 0.5000], [0.2112, 0.2112, 0.0000], [0.3083, 0.6917, 0.2177], [0.3083, 0.6917, 0.7823], [0.6917, 0.3083, 0.2177], [0.6917, 0.3083, 0.7823], [0.7888, 0.7888, 0.0000], [0.8197, 0.8197, 0.5000]],
  "energy_ev_per_atom": -7.49,
  "space_group": "Cmmm (65)",
  "total_magnetization_mub_per_fu": 0.0
}